The following is a PBE calculation of a relaxed Li2ReSnW crystal, from Alexandria via LeMat-Bulk.

Values from the calculation:
electronic total energy: -4.419 eV per atom
DOS at the Fermi energy: 8.64 states/eV per cell

POSCAR file:
```
Li2ReSnW
1.0
4.470 0.000 0.000
0.000 4.470 0.000
0.000 0.000 5.080
Li Re Sn W
2 1 1 1
Direct
0.000 0.500 0.000
0.500 0.000 0.000
0.000 0.000 0.500
0.500 0.500 0.500
0.500 0.500 0.000
```